Entry 1:
Below is a relaxed HgGe2Bi2 crystal, with properties calculated at the GGA-PBEsol level.

Unit cell a=4.4247 b=4.4247 c=7.8191 alpha=106.44 beta=106.44 gamma=90.00
Closest atoms and distances in Å follow each position.
Positions (direct):
Bi: 0.6185 0.6185 0.2371  4 Ge 2.91
Hg: 0.0000 0.0000 0.0000  8 Bi 3.56
Ge: 0.7500 0.2500 0.5000  4 Bi 2.91, 4 Ge 3.13
Bi: 0.3815 0.3815 0.7629  4 Ge 2.91
Ge: 0.2500 0.7500 0.5000  4 Bi 2.91, 4 Ge 3.13

Values from the calculation:
Crystal system   tetragonal
ΔH_f (0 K)   0.201 eV per atom
Calculated volume   28.059 A^3/atom
Space group   I4/mmm

***

Entry 2:
Below is a relaxed Ga3SnPd crystal, with properties calculated at the GGA-PBEsol level.

Unit cell a=4.7767 b=4.7767 c=4.7767 alpha=90.00 beta=90.00 gamma=90.00
Closest atoms and distances in Å follow each position.
Positions (direct):
Ga: 0.5000 0.0000 0.0000  2 Pd 2.39
Ga: 0.0000 0.0000 0.5000  2 Pd 2.39
Pd: 0.0000 0.0000 0.0000  6 Ga 2.39
Sn: 0.5000 0.5000 0.5000  12 Ga 3.38
Ga: 0.0000 0.5000 0.0000  2 Pd 2.39

Values from the calculation:
Crystal system   cubic
ΔH_f (0 K)   0.002 eV per atom
Calculated volume   21.797 A^3/atom
Space group   Pm-3m

***

Entry 3:
Below is a relaxed LiCu4Pb crystal, with properties calculated at the GGA-PBEsol level.

Unit cell a=4.9325 b=4.9325 c=4.9325 alpha=60.00 beta=60.00 gamma=60.00
Closest atoms and distances in Å follow each position.
Positions (direct):
Cu: 0.8728 0.3757 0.3757  6 Cu 2.45-2.48
Cu: 0.3757 0.3757 0.8728  6 Cu 2.45-2.48
Li: 0.7500 0.7500 0.7500  12 Cu 2.89, 4 Pb 3.02
Cu: 0.3757 0.8728 0.3757  6 Cu 2.45-2.48
Cu: 0.3757 0.3757 0.3757  6 Cu 2.45-2.48
Pb: 0.0000 0.0000 0.0000  12 Cu 2.89, 4 Li 3.02

Values from the calculation:
Crystal system   cubic
ΔH_f (0 K)   -0.009 eV per atom
Calculated volume   14.143 A^3/atom
Space group   F-43m